A geometry-optimized LiCrPO4 structure, computed with GGA+U.

Cell: 8.638 8.638 8.638 Å, 107.22 107.22 107.22°
Last column: magnetic moment on the atom in μB.
Sites, in units of the cell vectors:
O: 0.767 0.816 0.462  -0.01
O: 0.316 0.604 0.415  0.00
O: 0.731 0.017 0.091  0.00
O: 0.703 0.003 0.705  0.01
O: 0.030 0.650 0.328  0.00
O: 0.003 0.705 0.703  0.01
O: 0.126 0.496 0.787  -0.01
O: 0.328 0.030 0.650  0.00
O: 0.091 0.731 0.017  0.00
O: 0.052 0.396 0.100  0.01
O: 0.017 0.091 0.731  0.00
O: 0.705 0.703 0.003  0.01
O: 0.037 0.386 0.389  -0.01
O: 0.100 0.052 0.396  0.01
O: 0.389 0.037 0.386  -0.01
O: 0.496 0.787 0.126  -0.01
O: 0.604 0.415 0.316  0.00
O: 0.396 0.100 0.052  0.01
O: 0.386 0.389 0.037  -0.01
O: 0.415 0.316 0.604  0.00
O: 0.787 0.126 0.496  -0.01
O: 0.462 0.767 0.816  -0.01
O: 0.816 0.462 0.767  -0.01
O: 0.650 0.328 0.030  0.00
Cr: 0.782 0.180 0.966  3.78
Cr: 0.629 0.262 0.525  3.80
Cr: 0.966 0.782 0.180  3.78
Cr: 0.525 0.629 0.262  3.80
Cr: 0.262 0.525 0.629  3.80
Cr: 0.180 0.966 0.782  3.78
Li: 0.345 0.914 0.145  0.00
Li: 0.914 0.145 0.345  0.00
Li: 0.145 0.345 0.914  0.00
Li: 0.860 0.618 0.450  0.00
Li: 0.450 0.860 0.618  0.00
Li: 0.618 0.450 0.860  0.00
P: 0.507 0.299 0.108  0.01
P: 0.108 0.507 0.299  0.01
P: 0.008 0.597 0.818  0.02
P: 0.299 0.108 0.507  0.01
P: 0.597 0.818 0.008  0.02
P: 0.818 0.008 0.597  0.02

Output
total moment = 4.000 μB/f.u.
energy above the most stable polymorph in this dataset = 53 meV/atom
total DFT energy (no corrections) = -7.079 eV/atom
DOS at the Fermi energy = 0.00 states/eV/f.u.
symmetry = R3, No. 146